Here is a relaxed structure of Ni5Pt6Au from Alexandria. Energies are from PBE-GGA.

abc: 7.1761 7.1761 7.1761
angles: 148.61 117.19 71.91
Fractional coordinates of all 12 atoms:
Ni1 0.0000 0.0000 0.0000
Ni2 0.1741 0.6741 0.5000
Ni3 0.3338 0.3338 0.0000
Ni4 0.6662 0.6662 0.0000
Ni5 0.8259 0.3259 0.5000
Pt1 0.0687 0.8306 0.2381
Pt2 0.2290 0.5000 0.7290
Pt3 0.4074 0.1694 0.2381
Pt4 0.5926 0.8306 0.7619
Pt5 0.7710 0.5000 0.2710
Pt6 0.9313 0.1694 0.7619
Au1 0.5000 0.0000 0.5000

Calculated values
symmetry = Immm (71)
VASP energy = -5.749 eV per atom
theoretical density = 16.4 g/cm³
density of states at the Fermi level = 19.36 states/eV/cell